[1]
First-principles (PBE-GGA) data for a relaxed Mg2Pb crystal, as listed in the Alexandria database.

Computed properties:
energy relative to the elements = 0.000 eV per atom
total DFT energy (no corrections) = -2.299 eV/atom
symmetry = No. 227
theoretical density = 5536 kg/m³
density of states at the Fermi level = 2.936 states/eV/cell
total moment = 0.00 μB per atom

Cell lengths 6.0096, 6.0096, 6.0096 Å; angles 60.00, 60.00, 60.00 degrees
Closest atoms and distances in Å follow each position.
Sites, in units of the cell vectors:
Mg: 0.0000 0.0000 0.0000  6 Mg 3.00
Mg: 0.0000 0.0000 0.5000  6 Mg 3.00
Mg: 0.0000 0.5000 0.0000  6 Mg 3.00
Mg: 0.5000 0.0000 0.0000  6 Mg 3.00
Pb: 0.3750 0.3750 0.3750  12 Mg 3.52, 4 Pb 3.68
Pb: 0.6250 0.6250 0.6250  12 Mg 3.52, 4 Pb 3.68

=====

[2]
First-principles (PBE-GGA) data for a relaxed Mg3Pb crystal, as listed in the Alexandria database.

Computed properties:
energy relative to the elements = -0.025 eV per atom
total DFT energy (no corrections) = -2.148 eV/atom
symmetry = No. 65
theoretical density = 4718 kg/m³
density of states at the Fermi level = 1.519 states/eV/cell
total moment = 0.00 μB per atom

Cell lengths 5.6919, 5.6919, 3.2252 Å; angles 90.00, 90.00, 109.35 degrees
Closest atoms and distances in Å follow each position.
Sites, in units of the cell vectors:
Mg: 0.0000 0.0000 0.0000  10 Mg 3.23-3.27, 2 Pb 3.29
Mg: 0.0000 0.5000 0.5000  8 Mg 3.23-3.29, 4 Pb 3.27
Mg: 0.5000 0.0000 0.5000  8 Mg 3.23-3.29, 4 Pb 3.27
Pb: 0.5000 0.5000 0.0000  2 Pb 3.23, 10 Mg 3.27-3.29

=====

[3]
First-principles (PBE-GGA) data for a relaxed Mg6Pb crystal, as listed in the Alexandria database.

Computed properties:
energy relative to the elements = 0.736 eV per atom
total DFT energy (no corrections) = -1.161 eV/atom
symmetry = No. 229
theoretical density = 2326 kg/m³
density of states at the Fermi level = 1.028 states/eV/cell
total moment = 0.00 μB per atom
polymorph energy (0 for the lowest one) = 622.5 meV per atom

Cell lengths 6.8921, 6.8921, 6.8921 Å; angles 109.47, 109.47, 109.47 degrees
Closest atoms and distances in Å follow each position.
Sites, in units of the cell vectors:
Mg: 0.2500 0.5000 0.7500  4 Mg 2.81
Mg: 0.2500 0.7500 0.5000  4 Mg 2.81
Mg: 0.5000 0.2500 0.7500  4 Mg 2.81
Mg: 0.5000 0.7500 0.2500  4 Mg 2.81
Mg: 0.7500 0.2500 0.5000  4 Mg 2.81
Mg: 0.7500 0.5000 0.2500  4 Mg 2.81
Pb: 0.0000 0.0000 0.0000  24 Mg 4.45

=====

[4]
First-principles (PBE-GGA) data for a relaxed MgPb5 crystal, as listed in the Alexandria database.

Computed properties:
energy relative to the elements = 0.004 eV per atom
total DFT energy (no corrections) = -3.352 eV/atom
symmetry = No. 65
theoretical density = 9747 kg/m³
density of states at the Fermi level = 3.146 states/eV/cell
total moment = 0.00 μB per atom
polymorph energy (0 for the lowest one) = 17.3 meV per atom

Cell lengths 7.8160, 7.8160, 5.0062 Å; angles 90.00, 90.00, 143.80 degrees
Closest atoms and distances in Å follow each position.
Sites, in units of the cell vectors:
Mg: 0.0000 0.0000 0.0000  12 Pb 3.42-3.49
Pb: 0.1624 0.8376 0.5000  10 Pb 3.42-3.62, 2 Mg 3.48
Pb: 0.3380 0.6620 0.0000  2 Mg 3.42, 10 Pb 3.47-3.62
Pb: 0.5000 0.5000 0.5000  8 Pb 3.42-3.47, 4 Mg 3.49
Pb: 0.6620 0.3380 0.0000  2 Mg 3.42, 10 Pb 3.47-3.62
Pb: 0.8376 0.1624 0.5000  10 Pb 3.42-3.62, 2 Mg 3.48

=====

[5]
First-principles (PBE-GGA) data for a relaxed MgPb2 crystal, as listed in the Alexandria database.

Computed properties:
energy relative to the elements = -0.012 eV per atom
total DFT energy (no corrections) = -3.015 eV/atom
symmetry = No. 194
theoretical density = 8471 kg/m³
density of states at the Fermi level = 1.992 states/eV/cell
total moment = 0.00 μB per atom
polymorph energy (0 for the lowest one) = 21.8 meV per atom

Cell lengths 3.5439, 3.5439, 15.8141 Å; angles 90.00, 90.00, 120.00 degrees
Closest atoms and distances in Å follow each position.
Sites, in units of the cell vectors:
Mg: 0.3333 0.6667 0.2500  6 Pb 3.23, 6 Mg 3.54
Mg: 0.6667 0.3333 0.7500  6 Pb 3.23, 6 Mg 3.54
Pb: 0.3333 0.6667 0.5922  3 Mg 3.23, 9 Pb 3.54-3.56
Pb: 0.3333 0.6667 0.9078  3 Mg 3.23, 9 Pb 3.54-3.56
Pb: 0.6667 0.3333 0.0922  3 Mg 3.23, 9 Pb 3.54-3.56
Pb: 0.6667 0.3333 0.4078  3 Mg 3.23, 9 Pb 3.54-3.56

=====

[6]
First-principles (PBE-GGA) data for a relaxed MgPb5 crystal, as listed in the Alexandria database.

Computed properties:
energy relative to the elements = 0.190 eV per atom
total DFT energy (no corrections) = -3.166 eV/atom
symmetry = No. 191
theoretical density = 8506 kg/m³
density of states at the Fermi level = 3.057 states/eV/cell
total moment = 0.00 μB per atom
polymorph energy (0 for the lowest one) = 203.8 meV per atom

Cell lengths 6.3228, 6.3228, 5.9789 Å; angles 90.00, 90.00, 120.00 degrees
Closest atoms and distances in Å follow each position.
Sites, in units of the cell vectors:
Mg: 0.0000 0.0000 0.0000  6 Pb 3.65
Pb: 0.0000 0.5000 0.5000  8 Pb 3.16-3.50
Pb: 0.3333 0.6667 0.0000  9 Pb 3.50-3.65, 3 Mg 3.65
Pb: 0.5000 0.0000 0.5000  8 Pb 3.16-3.50
Pb: 0.5000 0.5000 0.5000  8 Pb 3.16-3.50
Pb: 0.6667 0.3333 0.0000  9 Pb 3.50-3.65, 3 Mg 3.65

=====

Question: What is the theoretical density in the third record?
Answer: 2326 kg/m³

=====

Question: Which formula does entry 3 have?
Answer: Mg6Pb